A plane-wave DFT calculation with PBE-GGA was carried out for a relaxed structure of KSr2Cr.

```
KSr2Cr
1.0
4.2037 -0.0105 0.0000
0.0117 4.2037 0.0000
0.0000 0.0000 10.6068
Sr K Cr
2 1 1
Cartesian
2.1077 2.0966 3.2689
0.0000 0.0000 0.2574
2.1077 2.0966 7.3869
0.0000 0.0000 4.9970
```

Values from the calculation:
As for the magnetic moment: 4.83 μB/f.u. For the density, the calculation gives 2360 kg/m³. As for the energy of formation: 0.5388 eV/atom. Its density of states at the Fermi level is 0.857 states/eV per atom. The symmetry is P4mm, No. 99. As for the crystal system: tetragonal.